1.
The following is a PBEsol calculation of a geometry-optimized Li2CdPd2 structure, from Alexandria.

Lattice parameters (Å, degrees): 7.1685 7.1685 2.8763 90.00 90.00 90.00
Space group P4/mbm (No. 127)
One atom of each set of equivalent atoms:
Li  0.1608  0.3392  0.0000 [4 per cell]
Cd  0.0000  0.0000  0.5000 [2 per cell]
Pd  0.1359  0.6359  0.5000 [4 per cell]

As for the total magnetic moment: 0.0 μB/f.u. The value obtained for the formation energy is -0.32 eV/atom.

---

2.
The following is a PBEsol calculation of a geometry-optimized Ca4SeBr structure, from Alexandria.

Lattice parameters (Å, degrees): 9.3324 9.3324 9.3324 90.00 90.00 90.00
Space group F-43m (No. 216)
One atom of each set of equivalent atoms:
Ca  0.1242  0.1242  0.3758 [16 per cell]
Se  0.2500  0.2500  0.7500 [4 per cell]
Br  0.0000  0.0000  0.0000 [4 per cell]

As for the total magnetic moment: 0.0 μB/f.u.

---

These records have uncorrected energy values of -3.732, -2.565 eV/atom, in the order they appear.